! Cu2B2Pt3 PBE optimized geometry; values from VASP
&SYSTEM
  ibrav = 0, nat = 14, ntyp = 3
/
ATOMIC_SPECIES
Cu 63.55 Cu.upf
B 10.81 B.upf
Pt 195.08 Pt.upf
CELL_PARAMETERS angstrom
12.6415 0.0000 0.0000
0.0000 3.2612 0.0000
-0.0360 0.0000 4.2957
ATOMIC_POSITIONS angstrom
Cu 1.1613 0.0000 0.2656
Cu 5.1234 1.6306 4.0301
Cu 7.4820 1.6306 0.2656
Cu 11.4442 0.0000 4.0301
B 1.6103 0.0000 2.2996
B 4.6744 1.6306 1.9961
B 7.9310 1.6306 2.2996
B 10.9951 0.0000 1.9961
Pt -0.0180 1.6306 2.1478
Pt 2.6500 1.6306 3.1599
Pt 3.6347 0.0000 1.1357
Pt 6.3027 0.0000 2.1478
Pt 8.9707 0.0000 3.1599
Pt 9.9555 1.6306 1.1357
! DFT total energy, eV per atom: -5.766
! Formation energy from the elements, eV/f.u.: -0.695

---

! LaTbSm5Ho2 PBE optimized geometry; values from VASP
&SYSTEM
  ibrav = 0, nat = 18, ntyp = 4
/
ATOMIC_SPECIES
La 138.91 La.upf
Tb 158.93 Tb.upf
Sm 150.36 Sm.upf
Ho 164.93 Ho.upf
CELL_PARAMETERS angstrom
2.8461 -10.0796 0.0000
2.8461 10.0796 0.0000
0.0000 0.0000 10.6371
ATOMIC_POSITIONS angstrom
La 2.8461 8.3986 5.3185
La 2.8461 -8.3986 0.0000
Tb 2.8461 4.0275 0.6531
Tb 2.8461 -4.0275 5.9717
Sm 2.8461 9.6609 8.3919
Sm 2.8461 7.7912 0.7861
Sm 2.8461 5.9806 8.0523
Sm 2.8461 5.6579 3.8660
Sm 2.8461 0.3424 0.7870
Sm 2.8461 -0.3424 6.1055
Sm 2.8461 -5.6579 9.1845
Sm 2.8461 -5.9806 2.7337
Sm 2.8461 -7.7912 6.1047
Sm 2.8461 -9.6609 3.0733
Ho 2.8461 2.3226 3.9345
Ho 2.8461 2.2731 8.3283
Ho 2.8461 -2.2731 3.0098
Ho 2.8461 -2.3226 9.2530
! DFT total energy, eV per atom: -4.547
! Formation energy from the elements, eV/f.u.: 1.390

---

! CdReTe2N PBE optimized geometry; values from VASP
&SYSTEM
  ibrav = 0, nat = 5, ntyp = 4
/
ATOMIC_SPECIES
Cd 112.41 Cd.upf
Re 186.21 Re.upf
Te 127.60 Te.upf
N 14.01 N.upf
CELL_PARAMETERS angstrom
5.6408 0.0000 0.0000
0.0000 5.6408 0.0000
0.0000 0.0000 4.0521
ATOMIC_POSITIONS angstrom
Cd 0.0000 0.0000 0.0000
Re 2.8204 2.8204 2.0260
Te 0.0000 2.8204 0.0000
Te 2.8204 0.0000 0.0000
N 0.0000 0.0000 2.0260
! DFT total energy, eV per atom: -3.677
! Uncorrected formation energy, eV per atom: 1.917
! Energy above the lowest structure with this stoichiometry, eV/atom: 1.654

---

! Ti6PdO PBE optimized geometry; values from VASP
&SYSTEM
  ibrav = 0, nat = 8, ntyp = 3
/
ATOMIC_SPECIES
Ti 47.87 Ti.upf
Pd 106.42 Pd.upf
O 16.00 O.upf
CELL_PARAMETERS angstrom
4.7084 0.0000 0.0000
-0.0875 5.2507 0.0000
-2.1005 -0.7446 4.9064
ATOMIC_POSITIONS angstrom
Ti -0.0591 1.4475 0.7574
Ti -0.0263 4.0444 2.1944
Ti 0.3470 1.5021 3.6535
Ti 2.1735 3.0040 1.2529
Ti 2.5468 0.4617 2.7120
Ti 2.5796 3.0585 4.1490
Pd 2.3542 0.0000 0.0000
O -1.0940 2.2530 2.4532
! DFT total energy, eV per atom: -7.987
! Uncorrected formation energy, eV per atom: -0.797

---

! BeSiSb2 PBE optimized geometry; values from VASP
&SYSTEM
  ibrav = 0, nat = 8, ntyp = 3
/
ATOMIC_SPECIES
Be 9.01 Be.upf
Si 28.09 Si.upf
Sb 121.76 Sb.upf
CELL_PARAMETERS angstrom
3.6307 0.0000 0.0000
0.0000 3.7641 0.0000
0.0000 0.0000 12.2753
ATOMIC_POSITIONS angstrom
Be 0.0000 0.0000 0.0000
Be 1.8154 1.8820 6.1377
Si 0.0000 1.8820 4.6942
Si 1.8154 0.0000 10.8319
Sb 0.0000 0.0000 6.9722
Sb 0.0000 1.8820 9.5519
Sb 1.8154 0.0000 3.4142
Sb 1.8154 1.8820 0.8346
! DFT total energy, eV per atom: -3.907
! Uncorrected formation energy, eV per atom: 0.441

---

! CsCd2RhAu PBE optimized geometry; values from VASP
&SYSTEM
  ibrav = 0, nat = 5, ntyp = 4
/
ATOMIC_SPECIES
Cs 132.91 Cs.upf
Cd 112.41 Cd.upf
Rh 102.91 Rh.upf
Au 196.97 Au.upf
CELL_PARAMETERS angstrom
5.2765 0.0000 0.0000
0.0000 5.2765 0.0000
0.0000 0.0000 5.4007
ATOMIC_POSITIONS angstrom
Cs 0.0000 0.0000 0.0000
Cd 0.0000 2.6383 2.7004
Cd 2.6383 0.0000 2.7004
Rh 2.6383 2.6383 2.7004
Au 2.6383 2.6383 0.0000
! DFT total energy, eV per atom: -2.668
! Formation energy from the elements, eV/f.u.: -0.030

---

! SrInSn2 PBE optimized geometry; values from VASP
&SYSTEM
  ibrav = 0, nat = 4, ntyp = 3
/
ATOMIC_SPECIES
Sr 87.62 Sr.upf
In 114.82 In.upf
Sn 118.71 Sn.upf
CELL_PARAMETERS angstrom
4.9056 0.0000 0.0000
0.0000 4.9056 0.0000
0.0000 0.0000 4.7900
ATOMIC_POSITIONS angstrom
Sr 0.0000 0.0000 0.0000
In 2.4528 2.4528 0.0000
Sn 0.0000 2.4528 2.3950
Sn 2.4528 0.0000 2.3950
! DFT total energy, eV per atom: -3.474
! Formation energy from the elements, eV/f.u.: -1.471

---

! TiBe10V PBE optimized geometry; values from VASP
&SYSTEM
  ibrav = 0, nat = 12, ntyp = 3
/
ATOMIC_SPECIES
Ti 47.87 Ti.upf
Be 9.01 Be.upf
V 50.94 V.upf
CELL_PARAMETERS angstrom
3.3769 0.0000 0.0000
0.0000 4.3258 0.0000
0.0000 0.0000 7.4901
ATOMIC_POSITIONS angstrom
Ti 0.0000 0.0000 0.0000
Be 0.0000 0.0000 2.5475
Be 0.0000 0.0000 4.9426
Be 0.0000 2.1629 1.2922
Be 0.0000 2.1629 6.1979
Be 1.6885 0.0000 3.7451
Be 1.6885 1.0920 1.9138
Be 1.6885 1.0920 5.5763
Be 1.6885 2.1629 0.0000
Be 1.6885 3.2338 1.9138
Be 1.6885 3.2338 5.5763
V 0.0000 2.1629 3.7451
! DFT total energy, eV per atom: -4.687
! Formation energy from the elements, eV/f.u.: -1.972

---

! MgSiO3 PBE optimized geometry; values from VASP
&SYSTEM
  ibrav = 0, nat = 20, ntyp = 3
/
ATOMIC_SPECIES
Mg 24.30 Mg.upf
Si 28.09 Si.upf
O 16.00 O.upf
CELL_PARAMETERS angstrom
5.0914 -4.4218 0.0000
5.0914 4.4218 0.0000
-2.0646 0.0000 4.9577
ATOMIC_POSITIONS angstrom
Mg 3.5430 3.5429 3.7182
Mg 4.5753 2.1073 1.2394
Mg 3.5430 -2.1073 3.7182
Mg 4.5753 -3.5429 1.2394
Si 1.3257 0.7949 3.9503
Si 2.3580 -0.7949 1.4715
Si 5.7603 0.7949 3.4862
Si 6.7926 -0.7949 1.0073
O -0.1672 0.8240 3.2924
O 2.1143 2.1754 4.1842
O 0.8651 -0.8240 0.8136
O 3.2990 0.2584 0.5841
O 4.9716 2.1754 3.2522
O 2.2667 -0.2584 3.0629
O 5.8516 0.2584 1.8947
O 3.1467 -2.1754 1.7054
O 4.8193 -0.2584 4.3736
O 7.2532 0.8240 4.1441
O 6.0039 -2.1754 0.7734
O 8.2855 -0.8240 1.6653
! DFT total energy, eV per atom: -7.189
! Uncorrected formation energy, eV per atom: -2.810

---

! YBCl2 PBE optimized geometry; values from VASP
&SYSTEM
  ibrav = 0, nat = 16, ntyp = 3
/
ATOMIC_SPECIES
Y 88.91 Y.upf
B 10.81 B.upf
Cl 35.45 Cl.upf
CELL_PARAMETERS angstrom
4.3530 0.0000 0.0000
0.0000 4.3530 0.0000
0.0000 0.0000 17.9562
ATOMIC_POSITIONS angstrom
Y 0.0000 0.0000 0.0000
Y 0.0000 2.1765 4.4890
Y 2.1765 0.0000 13.4671
Y 2.1765 2.1765 8.9781
B 0.0000 0.0000 8.9781
B 0.0000 2.1765 13.4671
B 2.1765 0.0000 4.4890
B 2.1765 2.1765 0.0000
Cl 1.0811 1.0882 11.2226
Cl 1.0882 3.2576 15.7117
Cl 1.0882 3.2719 6.7336
Cl 1.0954 1.0882 2.2445
Cl 3.2576 3.2647 2.2445
Cl 3.2647 1.0811 6.7336
Cl 3.2647 1.0954 15.7117
Cl 3.2719 3.2647 11.2226
! DFT total energy, eV per atom: -4.398
! Uncorrected formation energy, eV per atom: -0.189
! Energy above the lowest structure with this stoichiometry, eV/atom: 0.000

---

! Cs3CO4 PBE optimized geometry; values from VASP
&SYSTEM
  ibrav = 0, nat = 16, ntyp = 3
/
ATOMIC_SPECIES
Cs 132.91 Cs.upf
C 12.01 C.upf
O 16.00 O.upf
CELL_PARAMETERS angstrom
8.5211 0.0000 0.0000
0.0000 6.8073 0.0000
0.0000 0.0000 6.2857
ATOMIC_POSITIONS angstrom
Cs 0.0000 0.5020 0.0000
Cs 1.9222 2.3473 3.2680
Cs 2.3383 4.4600 0.1251
Cs 4.2606 6.3053 3.1429
Cs 6.1828 4.4600 0.1251
Cs 6.5989 2.3473 3.2680
C 0.0000 5.5589 3.1623
C 4.2606 1.2484 0.0194
O 0.0000 0.1481 2.9835
O 0.0000 4.8625 1.9375
O 1.1495 5.2218 3.9015
O 3.1110 1.5855 0.7586
O 4.2606 1.9449 5.0804
O 4.2606 6.6593 6.1263
O 5.4101 1.5855 0.7586
O 7.3716 5.2218 3.9015
! DFT total energy, eV per atom: -5.222
! Uncorrected formation energy, eV per atom: -1.270

---

! BSb3Pt PBE optimized geometry; values from VASP
&SYSTEM
  ibrav = 0, nat = 5, ntyp = 3
/
ATOMIC_SPECIES
B 10.81 B.upf
Sb 121.76 Sb.upf
Pt 195.08 Pt.upf
CELL_PARAMETERS angstrom
5.2783 0.0000 0.0000
0.0000 5.2783 0.0000
0.0000 0.0000 5.2783
ATOMIC_POSITIONS angstrom
B 0.0000 0.0000 0.0000
Sb 0.0000 2.6392 2.6392
Sb 2.6392 0.0000 2.6392
Sb 2.6392 2.6392 0.0000
Pt 2.6392 2.6392 2.6392
! DFT total energy, eV per atom: -3.738
! Uncorrected formation energy, eV per atom: 1.279
! Energy above the lowest structure with this stoichiometry, eV/atom: 0.560